First-principles (PBE) data for a relaxed Na2TlMo crystal, as listed in the Alexandria database. Values from VASP.

Cell and atoms, written as Quantum ESPRESSO input:
```
&SYSTEM
  ibrav = 0, nat = 4, ntyp = 3
/
ATOMIC_SPECIES
Na 22.99 Na.upf
Tl 204.38 Tl.upf
Mo 95.94 Mo.upf
ATOMIC_POSITIONS angstrom
Na 1.831 1.831 1.831
Na 5.494 5.494 5.494
Tl 0.000 0.000 0.000
Mo 3.662 3.662 3.662
CELL_PARAMETERS angstrom
0.000 3.662 3.662
3.662 0.000 3.662
3.662 3.662 0.000
```

The value obtained for the density of states at the Fermi level is 1.59 states/eV/cell. Its electronic total energy is -3.050 eV per atom. Its crystal system is cubic. The value obtained for the formation energy is 909 meV/atom. The calculation puts the density at 5.85 g/cm3. As for the excess energy over the best structure of this formula in the dataset: 0 meV per atom. The space-group type is Fm-3m.



First-principles (PBE) data for a relaxed LiAg2F4 crystal, as listed in the Alexandria database. Values from VASP.

Cell and atoms, written as Quantum ESPRESSO input:
```
&SYSTEM
  ibrav = 0, nat = 7, ntyp = 3
/
ATOMIC_SPECIES
Li 6.94 Li.upf
Ag 107.87 Ag.upf
F 19.00 F.upf
ATOMIC_POSITIONS angstrom
Li 0.000 0.000 0.000
Ag 0.000 0.000 4.339
Ag 0.000 0.000 7.573
F 1.927 0.000 0.000
F 0.000 0.000 2.163
F 0.000 1.927 0.000
F 0.000 0.000 9.750
CELL_PARAMETERS angstrom
-1.927 1.927 5.956
1.927 -1.927 5.956
1.927 1.927 -5.956
```

The value obtained for the density of states at the Fermi level is 10.41 states/eV/cell. Its electronic total energy is -3.663 eV per atom. Its crystal system is tetragonal. The calculation puts the density at 5.61 g/cm3. The value obtained for the uncorrected formation energy is -1506 meV per atom. As for the excess energy over the best structure of this formula in the dataset: 91 meV per atom. The space-group type is I4/mmm.



First-principles (PBE) data for a relaxed KCd2In2 crystal, as listed in the Alexandria database. Values from VASP.

Cell and atoms, written as Quantum ESPRESSO input:
```
&SYSTEM
  ibrav = 0, nat = 10, ntyp = 3
/
ATOMIC_SPECIES
K 39.10 K.upf
Cd 112.41 Cd.upf
In 114.82 In.upf
ATOMIC_POSITIONS angstrom
K 0.000 0.000 0.000
K 4.611 4.611 0.000
Cd 1.265 3.346 0.000
Cd 3.346 7.957 0.000
Cd 5.876 1.265 0.000
Cd 7.957 5.876 0.000
In 1.433 6.044 1.671
In 3.178 1.433 1.671
In 6.044 7.789 1.671
In 7.789 3.178 1.671
CELL_PARAMETERS angstrom
9.222 0.000 0.000
0.000 9.222 0.000
0.000 0.000 3.343
```

The value obtained for the density of states at the Fermi level is 4.08 states/eV/cell. Its electronic total energy is -1.730 eV per atom. Its crystal system is tetragonal. The value obtained for the formation energy is -49 meV/atom. The calculation puts the density at 5.77 g/cm3. As for the excess energy over the best structure of this formula in the dataset: 42 meV per atom. The space-group type is P4/mbm.